#one
Material: KNa2MgCd
Method: DFT, PBE
State: relaxed

The total magnetization comes out at 0.000 μB per atom. The calculation puts the density of states at the Fermi level at 2.7 states/eV/f.u.

Cell lengths 6.0064, 6.0064, 5.4890 Å; angles 90.00, 90.00, 90.00 degrees
Space group P4/mmm (No. 123)
Symmetry-distinct sites (fractional):
K 0.0000 0.0000 0.0000 (multiplicity 1)
Na 0.0000 0.5000 0.5000 (multiplicity 2)
Mg 0.5000 0.5000 0.0000 (multiplicity 1)
Cd 0.5000 0.5000 0.5000 (multiplicity 1)

#two
Material: KNa2MgCd
Method: DFT, PBE
State: relaxed

The total magnetization comes out at 0.000 μB per atom. The calculation puts the density of states at the Fermi level at 2.7 states/eV/f.u.

Cell lengths 6.1121, 6.1121, 5.4745 Å; angles 90.00, 90.00, 90.00 degrees
Space group P4/mmm (No. 123)
Symmetry-distinct sites (fractional):
K 0.0000 0.0000 0.0000 (multiplicity 1)
Na 0.0000 0.5000 0.5000 (multiplicity 2)
Mg 0.5000 0.5000 0.5000 (multiplicity 1)
Cd 0.5000 0.5000 0.0000 (multiplicity 1)

Last place for stability: #two

#one
Material: K2RbMgCd
Method: DFT, PBE
State: relaxed

The total magnetization comes out at 0.000 μB per atom. The calculation puts the density of states at the Fermi level at 2.8 states/eV/f.u.

Cell lengths 6.9376, 6.9376, 5.5889 Å; angles 90.00, 90.00, 90.00 degrees
Space group P4/mmm (No. 123)
Symmetry-distinct sites (fractional):
K 0.0000 0.5000 0.0000 (multiplicity 2)
Rb 0.0000 0.0000 0.5000 (multiplicity 1)
Mg 0.5000 0.5000 0.5000 (multiplicity 1)
Cd 0.5000 0.5000 0.0000 (multiplicity 1)

#two
Material: K2RbMgCd
Method: DFT, PBE
State: relaxed

The total magnetization comes out at 0.000 μB per atom. The calculation puts the density of states at the Fermi level at 2.9 states/eV/f.u.

Cell lengths 7.0718, 7.0718, 5.5557 Å; angles 90.00, 90.00, 90.00 degrees
Space group P4/mmm (No. 123)
Symmetry-distinct sites (fractional):
K 0.0000 0.5000 0.0000 (multiplicity 2)
Rb 0.0000 0.0000 0.5000 (multiplicity 1)
Mg 0.5000 0.5000 0.0000 (multiplicity 1)
Cd 0.5000 0.5000 0.5000 (multiplicity 1)

Last place for stability: #two

#one
Material: KMnCd
Method: DFT, PBE
State: relaxed

The total magnetization comes out at 1.512 μB per atom. The calculation puts the density of states at the Fermi level at 3.6 states/eV/f.u.

Cell lengths 7.7929, 7.7929, 7.7929 Å; angles 90.00, 90.00, 90.00 degrees
Space group F-43m (No. 216)
Symmetry-distinct sites (fractional):
K 0.0000 0.0000 0.0000 (multiplicity 4)
Mn 0.2500 0.2500 0.7500 (multiplicity 4)
Cd 0.2500 0.2500 0.2500 (multiplicity 4)

#two
Material: KMnCd
Method: DFT, PBE
State: relaxed

The total magnetization comes out at 1.411 μB per atom. The calculation puts the density of states at the Fermi level at 3.3 states/eV/f.u.

Cell lengths 5.0049, 5.0049, 4.3192 Å; angles 90.00, 90.00, 120.00 degrees
Space group P-6m2 (No. 187)
Symmetry-distinct sites (fractional):
K 0.0000 0.0000 0.0000 (multiplicity 1)
Mn 0.6667 0.3333 0.5000 (multiplicity 1)
Cd 0.3333 0.6667 0.5000 (multiplicity 1)

Last place for stability: #one

#one
Material: KMnCd
Method: DFT, PBE
State: relaxed

The total magnetization comes out at 1.434 μB per atom. The calculation puts the density of states at the Fermi level at 3.8 states/eV/f.u.

Cell lengths 7.3349, 7.3349, 7.3349 Å; angles 90.00, 90.00, 90.00 degrees
Space group F-43m (No. 216)
Symmetry-distinct sites (fractional):
K 0.0000 0.0000 0.0000 (multiplicity 4)
Mn 0.2500 0.2500 0.7500 (multiplicity 4)
Cd 0.0000 0.0000 0.5000 (multiplicity 4)

#two
Material: KMnCd
Method: DFT, PBE
State: relaxed

The total magnetization comes out at 1.349 μB per atom. The calculation puts the density of states at the Fermi level at 1.7 states/eV/f.u.

Cell lengths 3.1478, 4.4613, 12.4523 Å; angles 90.00, 90.00, 90.00 degrees
Space group Imm2 (No. 44)
Symmetry-distinct sites (fractional):
K 0.0000 0.0000 0.0000 (multiplicity 2)
Mn 0.0000 0.0000 0.2728 (multiplicity 2)
Cd 0.0000 0.0000 0.7189 (multiplicity 2)

Last place for stability: #one

#one
Material: K2CdN
Method: DFT, PBE
State: relaxed

The total magnetization comes out at 0.250 μB per atom. The calculation puts the density of states at the Fermi level at 3.3 states/eV/f.u.

Cell lengths 7.6753, 7.6753, 7.6753 Å; angles 90.00, 90.00, 90.00 degrees
Space group Fm-3m (No. 225)
Symmetry-distinct sites (fractional):
K 0.2500 0.2500 0.2500 (multiplicity 8)
Cd 0.0000 0.0000 0.0000 (multiplicity 4)
N 0.0000 0.0000 0.5000 (multiplicity 4)

#two
Material: K2CdN
Method: DFT, PBE
State: relaxed

The total magnetization comes out at 0.000 μB per atom. The calculation puts the density of states at the Fermi level at 1.5 states/eV/f.u.

Cell lengths 11.7883, 11.7883, 4.2398 Å; angles 90.00, 90.00, 90.00 degrees
Space group I-42d (No. 122)
Symmetry-distinct sites (fractional):
K 0.0349 0.2500 0.1250 (multiplicity 8)
Cd 0.0000 0.0000 0.5000 (multiplicity 4)
N 0.0000 0.0000 0.0000 (multiplicity 4)

Last place for stability: #one

#one
Material: KCd3N
Method: DFT, PBE
State: relaxed

The total magnetization comes out at 0.000 μB per atom. The calculation puts the density of states at the Fermi level at 3.1 states/eV/f.u.

Cell lengths 4.9429, 4.9429, 4.9429 Å; angles 90.00, 90.00, 90.00 degrees
Space group Pm-3m (No. 221)
Symmetry-distinct sites (fractional):
K 0.0000 0.0000 0.0000 (multiplicity 1)
Cd 0.0000 0.5000 0.5000 (multiplicity 3)
N 0.5000 0.5000 0.5000 (multiplicity 1)

#two
Material: KCd3N
Method: DFT, PBE
State: relaxed

The total magnetization comes out at 0.508 μB per atom. The calculation puts the density of states at the Fermi level at 14.4 states/eV/f.u.

Cell lengths 7.1377, 7.1377, 7.1377 Å; angles 90.00, 90.00, 90.00 degrees
Space group Pm-3m (No. 221)
Symmetry-distinct sites (fractional):
K 0.0000 0.0000 0.0000 (multiplicity 1)
Cd 0.0000 0.0000 0.5000 (multiplicity 3)
N 0.5000 0.5000 0.5000 (multiplicity 1)

Last place for stability: #two